Entry from the Alexandria database: Ca3PrY2Te6 after structural relaxation (PBE).

Cell lengths 10.0323, 10.0323, 8.9947 Å; angles 104.25, 104.25, 25.45 degrees
Fractional positions:
Ca (0.0000, 0.0000, 0.0000)
Ca (0.3359, 0.3359, 0.6688)
Ca (0.6641, 0.6641, 0.3312)
Pr (0.0000, 0.0000, 0.5000)
Y (0.3369, 0.3369, 0.1747)
Y (0.6631, 0.6631, 0.8253)
Te (0.1697, 0.1697, 0.0773)
Te (0.1701, 0.1701, 0.5863)
Te (0.4991, 0.4991, 0.2419)
Te (0.5009, 0.5009, 0.7581)
Te (0.8299, 0.8299, 0.4137)
Te (0.8303, 0.8303, 0.9227)

Crystal system: monoclinic
Formation energy without anion corrections: -1488 meV/atom

Entry from the Alexandria database: CaPrY2Te4 after structural relaxation (PBE).

Cell lengths 7.6880, 4.4034, 7.7312 Å; angles 90.00, 108.96, 90.00 degrees
Fractional positions:
Ca (0.0000, 0.0000, 0.0000)
Pr (0.0000, 0.5000, 0.5000)
Y (0.5000, 0.0000, 0.5000)
Y (0.5000, 0.5000, 0.0000)
Te (0.2571, 0.5000, 0.2482)
Te (0.2597, 0.0000, 0.7580)
Te (0.7403, 0.0000, 0.2420)
Te (0.7429, 0.5000, 0.7518)

Crystal system: monoclinic
Formation energy without anion corrections: -1419 meV/atom

Entry from the Alexandria database: Ca3Pr2YTe6 after structural relaxation (PBE).

Cell lengths 7.7108, 7.7108, 7.8805 Å; angles 99.42, 99.42, 119.93 degrees
Fractional positions:
Ca (0.0000, 0.0000, 0.0000)
Ca (0.3299, 0.6701, 0.0000)
Ca (0.6701, 0.3299, 0.0000)
Pr (0.1654, 0.8346, 0.5000)
Pr (0.8346, 0.1654, 0.5000)
Y (0.5000, 0.5000, 0.5000)
Te (0.0910, 0.4162, 0.2473)
Te (0.2608, 0.2608, 0.7549)
Te (0.4162, 0.0910, 0.2473)
Te (0.5838, 0.9090, 0.7527)
Te (0.7392, 0.7392, 0.2451)
Te (0.9090, 0.5838, 0.7527)

Crystal system: monoclinic
Formation energy without anion corrections: -1503 meV/atom

Entry from the Alexandria database: CaPr2Th after structural relaxation (PBE).

Cell lengths 5.2594, 5.2594, 5.1001 Å; angles 90.00, 90.00, 90.00 degrees
Fractional positions:
Ca (0.0000, 0.0000, 0.0000)
Pr (0.0000, 0.5000, 0.5000)
Pr (0.5000, 0.0000, 0.5000)
Th (0.5000, 0.5000, 0.0000)

Crystal system: tetragonal

Entry from the Alexandria database: CaPr2Th after structural relaxation (PBE).

Cell lengths 3.6976, 3.6976, 10.6587 Å; angles 90.00, 90.00, 90.00 degrees
Fractional positions:
Ca (0.0000, 0.0000, 0.0000)
Pr (0.5000, 0.5000, 0.2731)
Pr (0.5000, 0.5000, 0.7269)
Th (0.0000, 0.0000, 0.5000)

Crystal system: tetragonal

Entry from the Alexandria database: CaPrTh2 after structural relaxation (PBE).

Cell lengths 13.2152, 13.2152, 13.2152 Å; angles 15.35, 15.35, 15.35 degrees
Fractional positions:
Ca (0.0000, 0.0000, 0.0000)
Pr (0.5000, 0.5000, 0.5000)
Th (0.0886, 0.0886, 0.0886)
Th (0.9114, 0.9114, 0.9114)

Crystal system: trigonal

Entry from the Alexandria database: CaPr5Th after structural relaxation (PBE).

Cell lengths 5.2329, 5.2329, 9.8229 Å; angles 90.00, 90.00, 90.00 degrees
Fractional positions:
Ca (0.0000, 0.0000, 0.0000)
Pr (0.0000, 0.5000, 0.2737)
Pr (0.0000, 0.5000, 0.7263)
Pr (0.5000, 0.0000, 0.2737)
Pr (0.5000, 0.0000, 0.7263)
Pr (0.5000, 0.5000, 0.0000)
Th (0.0000, 0.0000, 0.5000)

Crystal system: tetragonal

Entry from the Alexandria database: CaPrTh after structural relaxation (PBE).

Cell lengths 8.7218, 8.7218, 8.7218 Å; angles 156.08, 156.08, 34.08 degrees
Fractional positions:
Ca (0.0000, 0.0000, 0.0000)
Pr (0.6821, 0.6821, 0.0000)
Th (0.3297, 0.3297, 0.0000)

Crystal system: tetragonal

| no. | VASP energy (eV per atom) |
| --- | --- |
| 1 | -5.034 |
| 2 | -5.454 |
| 3 | -4.910 |
| 4 | -4.602 |
| 5 | -4.712 |
| 6 | -5.144 |
| 7 | -4.413 |
| 8 | -4.622 |